No. 1
Density functional theory data (GGA-PBE) for crystalline LaTbNdCd at its relaxed geometry.

Lattice parameters (Å, degrees): 3.738 3.738 8.984 90.00 90.00 90.00
Fractional positions:
1 La 0.000 0.000 0.000
2 Tb 0.500 0.500 0.276
3 Nd 0.500 0.500 0.714
4 Cd 0.000 0.000 0.484

- Symmetry: P4mm (99)
- Raw total energy: -15.83 eV/cell

=====

No. 2
Density functional theory data (GGA-PBE) for crystalline LaTbNdCd at its relaxed geometry.

Lattice parameters (Å, degrees): 5.614 5.614 5.614 60.00 60.00 60.00
Fractional positions:
1 La 0.000 0.000 0.000
2 Tb 0.750 0.750 0.750
3 Nd 0.500 0.500 0.500
4 Cd 0.250 0.250 0.250

- Symmetry: F-43m (216)
- Raw total energy: -15.43 eV/cell

=====

No. 3
Density functional theory data (GGA-PBE) for crystalline La2Tb2NdCd5 at its relaxed geometry.

Lattice parameters (Å, degrees): 10.783 10.783 4.874 90.00 90.00 90.00
Fractional positions:
1 La 0.176 0.324 0.000
2 La 0.324 0.824 0.000
3 La 0.676 0.176 0.000
4 La 0.824 0.676 0.000
5 Tb 0.122 0.622 0.000
6 Tb 0.378 0.122 0.000
7 Tb 0.622 0.878 0.000
8 Tb 0.878 0.378 0.000
9 Nd 0.000 0.000 0.000
10 Nd 0.500 0.500 0.000
11 Cd 0.000 0.500 0.500
12 Cd 0.069 0.803 0.500
13 Cd 0.197 0.069 0.500
14 Cd 0.303 0.569 0.500
15 Cd 0.431 0.303 0.500
16 Cd 0.500 0.000 0.500
17 Cd 0.569 0.697 0.500
18 Cd 0.697 0.431 0.500
19 Cd 0.803 0.931 0.500
20 Cd 0.931 0.197 0.500

- Symmetry: P4/mbm (127)
- Raw total energy: -61.19 eV/cell

=====

No. 4
Density functional theory data (GGA-PBE) for crystalline La2Tb3Nd6Cd at its relaxed geometry.

Lattice parameters (Å, degrees): 6.261 6.261 11.972 95.07 95.07 120.05
Fractional positions:
1 La 0.167 0.833 0.000
2 La 0.833 0.167 0.000
3 Tb 0.000 0.000 0.500
4 Tb 0.334 0.666 0.500
5 Tb 0.666 0.334 0.500
6 Nd 0.090 0.417 0.748
7 Nd 0.256 0.256 0.253
8 Nd 0.417 0.090 0.748
9 Nd 0.583 0.910 0.252
10 Nd 0.744 0.744 0.747
11 Nd 0.910 0.583 0.252
12 Cd 0.500 0.500 0.000

- Symmetry: C2/m (12)
- Raw total energy: -53.49 eV/cell

=====

No. 5
Density functional theory data (GGA-PBE) for crystalline La2NdCdTe5 at its relaxed geometry.

Lattice parameters (Å, degrees): 9.963 9.963 13.606 90.00 90.00 154.07
Fractional positions:
1 La 0.116 0.884 0.500
2 La 0.130 0.870 0.124
3 La 0.870 0.130 0.624
4 La 0.884 0.116 0.000
5 Nd 0.200 0.800 0.826
6 Nd 0.800 0.200 0.326
7 Cd 0.442 0.558 0.273
8 Cd 0.558 0.442 0.773
9 Te 0.044 0.956 0.894
10 Te 0.289 0.711 0.490
11 Te 0.310 0.690 0.157
12 Te 0.362 0.638 0.817
13 Te 0.497 0.503 0.589
14 Te 0.503 0.497 0.089
15 Te 0.638 0.362 0.317
16 Te 0.690 0.310 0.657
17 Te 0.711 0.289 0.990
18 Te 0.956 0.044 0.394

- Symmetry: Cmc2_1 (36)
- E_form (uncorrected): -11.41 eV/f.u.

=====

No. 6
Density functional theory data (GGA-PBE) for crystalline LaNdThCd at its relaxed geometry.

Lattice parameters (Å, degrees): 5.624 5.624 5.624 60.00 60.00 60.00
Fractional positions:
1 La 0.000 0.000 0.000
2 Nd 0.500 0.500 0.500
3 Th 0.750 0.750 0.750
4 Cd 0.250 0.250 0.250

- Symmetry: F-43m (216)
- Raw total energy: -17.78 eV/cell

=====

No. 7
Density functional theory data (GGA-PBE) for crystalline La2NdTl2Cd2 at its relaxed geometry.

Lattice parameters (Å, degrees): 9.750 9.750 9.750 29.60 29.60 29.60
Fractional positions:
1 La 0.139 0.139 0.139
2 La 0.861 0.861 0.861
3 Nd 0.000 0.000 0.000
4 Tl 0.272 0.272 0.272
5 Tl 0.728 0.728 0.728
6 Cd 0.419 0.419 0.419
7 Cd 0.581 0.581 0.581

- Symmetry: R-3m (166)
- Raw total energy: -22.77 eV/cell

=====

No. 8
Density functional theory data (GGA-PBE) for crystalline LaNd2Tl2Cd2 at its relaxed geometry.

Lattice parameters (Å, degrees): 9.642 9.642 9.642 30.50 30.50 30.50
Fractional positions:
1 La 0.000 0.000 0.000
2 Nd 0.133 0.133 0.133
3 Nd 0.867 0.867 0.867
4 Tl 0.269 0.269 0.269
5 Tl 0.731 0.731 0.731
6 Cd 0.423 0.423 0.423
7 Cd 0.577 0.577 0.577

- Symmetry: R-3m (166)
- Raw total energy: -22.57 eV/cell

=====

Please write out number 5 again, unchanged.
Density functional theory data (GGA-PBE) for crystalline La2NdCdTe5 at its relaxed geometry.

Lattice parameters (Å, degrees): 9.963 9.963 13.606 90.00 90.00 154.07
Fractional positions:
1 La 0.116 0.884 0.500
2 La 0.130 0.870 0.124
3 La 0.870 0.130 0.624
4 La 0.884 0.116 0.000
5 Nd 0.200 0.800 0.826
6 Nd 0.800 0.200 0.326
7 Cd 0.442 0.558 0.273
8 Cd 0.558 0.442 0.773
9 Te 0.044 0.956 0.894
10 Te 0.289 0.711 0.490
11 Te 0.310 0.690 0.157
12 Te 0.362 0.638 0.817
13 Te 0.497 0.503 0.589
14 Te 0.503 0.497 0.089
15 Te 0.638 0.362 0.317
16 Te 0.690 0.310 0.657
17 Te 0.711 0.289 0.990
18 Te 0.956 0.044 0.394

- Symmetry: Cmc2_1 (36)
- E_form (uncorrected): -11.41 eV/f.u.

=====

Repeat the fourth record exactly.
Density functional theory data (GGA-PBE) for crystalline La2Tb3Nd6Cd at its relaxed geometry.

Lattice parameters (Å, degrees): 6.261 6.261 11.972 95.07 95.07 120.05
Fractional positions:
1 La 0.167 0.833 0.000
2 La 0.833 0.167 0.000
3 Tb 0.000 0.000 0.500
4 Tb 0.334 0.666 0.500
5 Tb 0.666 0.334 0.500
6 Nd 0.090 0.417 0.748
7 Nd 0.256 0.256 0.253
8 Nd 0.417 0.090 0.748
9 Nd 0.583 0.910 0.252
10 Nd 0.744 0.744 0.747
11 Nd 0.910 0.583 0.252
12 Cd 0.500 0.500 0.000

- Symmetry: C2/m (12)
- Raw total energy: -53.49 eV/cell